Density functional theory data (GGA-PBE) for a relaxed structure of LaCe3Sm2As6. Values from VASP.

Values from the calculation:
DFT total energy in eV/atom: -6.491
Fermi-level density of states in states/eV/f.u.: 17.090
Space-group type: C2/m, No. 12
Total moment in μB per atom: 0.160

```
&SYSTEM
  ibrav = 0, nat = 12, ntyp = 4
/
ATOMIC_SPECIES
La 138.91 La.upf
Ce 140.12 Ce.upf
Sm 150.36 Sm.upf
As 74.92 As.upf
ATOMIC_POSITIONS crystal
La 0.000 0.000 0.000
Ce 0.166 0.834 0.500
Ce 0.500 0.500 0.500
Ce 0.834 0.166 0.500
Sm 0.333 0.667 0.000
Sm 0.667 0.333 0.000
As 0.085 0.423 0.255
As 0.253 0.253 0.746
As 0.423 0.085 0.255
As 0.577 0.915 0.745
As 0.747 0.747 0.254
As 0.915 0.577 0.745
CELL_PARAMETERS angstrom
3.675 -6.364 0.000
3.675 6.364 0.000
-2.452 0.000 6.928
```